Entry 1:
This record from Alexandria describes LaPr3 after structural relaxation. The functional is PBE.

Cell lengths 3.7355, 12.1470, 6.4940 Å; angles 90.00, 90.00, 90.00 degrees
With the nearest neighbours (Å) after each atom.
Space group Imm2 (No. 44)
Symmetry-distinct sites (fractional):
La: 0.0000 0.0000 0.0000 [2 per cell]  10 Pr 3.70-3.76, 2 La 3.74
Pr: 0.0000 0.2493 0.6716 [4 per cell]  3 La 3.70-3.74, 9 Pr 3.71-3.75
Pr: 0.0000 0.5000 0.9975 [2 per cell]  8 Pr 3.71-3.74, 4 La 3.73-3.76

Summary:
* density of states at the Fermi level: 1.773 states/eV/atom
* spin magnetization: 0.000 μB/cell
* formation energy from the elements: 31 meV per atom

***

Entry 2:
This record from Alexandria describes KCr2Si after structural relaxation. The functional is PBE.

Cell lengths 2.8900, 2.8900, 28.4512 Å; angles 90.00, 90.00, 120.00 degrees
With the nearest neighbours (Å) after each atom.
Space group R3m (No. 160, hexagonal axes)
Symmetry-distinct sites (fractional):
K: 0.0000 0.0000 0.0000 [3 per cell]  6 K 2.89
Cr: 0.0000 0.0000 0.4989 [3 per cell]  3 Cr 2.31, 3 Si 2.57
Cr: 0.0000 0.0000 0.7759 [3 per cell]  3 Cr 2.31
Si: 0.0000 0.0000 0.2342 [3 per cell]  3 Cr 2.57

Summary:
* raw total energy: -69.0 eV per cell
* density of states at the Fermi level: 0.451 states/eV/atom
* spin magnetization: 1.030 μB/cell

***

Entry 3:
This record from Alexandria describes Nb after structural relaxation. The functional is PBE.

Cell lengths 5.4771, 5.4771, 10.4175 Å; angles 90.00, 90.00, 90.00 degrees
With the nearest neighbours (Å) after each atom.
Space group I4_1/acd (No. 142, origin choice 2)
Symmetry-distinct sites (fractional):
Nb: 0.1865 0.0635 0.1250 [16 per cell]  7 Nb 2.70-2.89

Summary:
* density of states at the Fermi level: 1.256 states/eV/atom
* spin magnetization: 0.000 μB/cell
* distance to the lowest polymorph of the same formula: 0.5902 eV/atom
* formation energy from the elements: 590 meV per atom

***

Entry 4:
This record from Alexandria describes YTlCoRh2 after structural relaxation. The functional is PBE.

Cell lengths 4.9436, 4.9436, 4.7645 Å; angles 90.00, 90.00, 90.00 degrees
With the nearest neighbours (Å) after each atom.
Space group P4/mmm (No. 123)
Symmetry-distinct sites (fractional):
Y: 0.0000 0.0000 0.0000 [1 per cell]  2 Co 2.38, 4 Rh 2.47
Tl: 0.5000 0.5000 0.5000 [1 per cell]  8 Rh 3.43, 4 Co 3.50
Co: 0.0000 0.0000 0.5000 [1 per cell]  2 Y 2.38
Rh: 0.0000 0.5000 0.0000 [2 per cell]  2 Y 2.47

Summary:
* density of states at the Fermi level: 0.238 states/eV/atom
* spin magnetization: 1.063 μB/cell
* formation energy from the elements: 1098 meV per atom

***

Entry 5:
This record from Alexandria describes Rb2VBCl6 after structural relaxation. The functional is PBE.

Cell lengths 7.0951, 7.0951, 10.0517 Å; angles 90.00, 90.00, 90.00 degrees
With the nearest neighbours (Å) after each atom.
Space group I4/mmm (No. 139)
Symmetry-distinct sites (fractional):
Rb: 0.0000 0.5000 0.2500 [4 per cell]  12 Cl 3.55
V: 0.0000 0.0000 0.0000 [2 per cell]  6 Cl 2.41
B: 0.0000 0.0000 0.5000 [2 per cell]  6 Cl 2.61-2.62
Cl: 0.0000 0.0000 0.2396 [4 per cell]  1 V 2.41, 1 B 2.62
Cl: 0.2402 0.2402 0.0000 [8 per cell]  1 V 2.41, 1 B 2.61

Summary:
* raw total energy: -77.3 eV per cell
* density of states at the Fermi level: 1.399 states/eV/atom
* spin magnetization: 4.000 μB/cell

***

Entry 6:
This record from Alexandria describes VNiTe2N after structural relaxation. The functional is PBE.

Cell lengths 5.3069, 5.3069, 3.4179 Å; angles 90.00, 90.00, 90.00 degrees
With the nearest neighbours (Å) after each atom.
Space group P4/mmm (No. 123)
Symmetry-distinct sites (fractional):
V: 0.0000 0.0000 0.0000 [1 per cell]  8 Te 3.16, 2 V 3.42
Ni: 0.5000 0.5000 0.5000 [1 per cell]  2 N 1.71
Te: 0.0000 0.5000 0.5000 [2 per cell]  2 Ni 2.65
N: 0.5000 0.5000 0.0000 [1 per cell]  2 Ni 1.71

Summary:
* density of states at the Fermi level: 0.818 states/eV/atom
* spin magnetization: 3.121 μB/cell
* distance to the lowest polymorph of the same formula: 0.1169 eV/atom

***

Entry 7:
This record from Alexandria describes Pm5InBi2 after structural relaxation. The functional is PBE.

Cell lengths 10.4650, 10.5666, 8.7071 Å; angles 90.00, 90.00, 90.00 degrees
With the nearest neighbours (Å) after each atom.
Space group Fmm2 (No. 42)
Symmetry-distinct sites (fractional):
Pm: 0.0000 0.0000 0.0000 [4 per cell]  8 Pm 3.27-3.62, 1 In 3.63
Pm: 0.0000 0.2384 0.2991 [8 per cell]  4 Pm 3.27-3.62, 2 In 3.34-3.53, 4 Bi 3.39-3.42
Pm: 0.2345 0.0000 0.2996 [8 per cell]  4 Pm 3.28-3.58, 2 In 3.36-3.48, 4 Bi 3.41-3.44
In: 0.0000 0.0000 0.5829 [4 per cell]  9 Pm 3.34-3.63, 4 Bi 3.73
Bi: 0.2500 0.2500 0.0467 [8 per cell]  10 Pm 3.39-3.74, 2 In 3.73

Summary:
* density of states at the Fermi level: 1.267 states/eV/atom
* spin magnetization: 0.000 μB/cell
* formation energy from the elements: -466 meV per atom

***

Entry 8:
This record from Alexandria describes NiRu3N after structural relaxation. The functional is PBE.

Cell lengths 3.9747, 3.9747, 3.9747 Å; angles 90.00, 90.00, 90.00 degrees
With the nearest neighbours (Å) after each atom.
Space group Pm-3m (No. 221)
Symmetry-distinct sites (fractional):
Ni: 0.0000 0.0000 0.0000 [1 per cell]  12 Ru 2.81
Ru: 0.0000 0.5000 0.5000 [3 per cell]  2 N 1.99
N: 0.5000 0.5000 0.5000 [1 per cell]  6 Ru 1.99

Summary:
* density of states at the Fermi level: 1.411 states/eV/atom
* spin magnetization: 1.262 μB/cell
* distance to the lowest polymorph of the same formula: 0.0000 eV/atom

***

Entry 9:
This record from Alexandria describes Zr2TlTeSe after structural relaxation. The functional is PBE.

Cell lengths 5.5222, 5.5222, 5.3712 Å; angles 90.00, 90.00, 90.00 degrees
With the nearest neighbours (Å) after each atom.
Space group P4/mmm (No. 123)
Symmetry-distinct sites (fractional):
Zr: 0.0000 0.5000 0.0000 [2 per cell]  2 Tl 2.76
Tl: 0.0000 0.0000 0.0000 [1 per cell]  2 Te 2.69, 4 Zr 2.76
Te: 0.0000 0.0000 0.5000 [1 per cell]  2 Tl 2.69
Se: 0.5000 0.5000 0.5000 [1 per cell]  8 Zr 3.85, 4 Te 3.90

Summary:
* raw total energy: -20.8 eV per cell
* density of states at the Fermi level: 0.808 states/eV/atom
* spin magnetization: 1.151 μB/cell

***

Entry 10:
This record from Alexandria describes TaRhW2 after structural relaxation. The functional is PBE.

Cell lengths 6.3781, 6.3781, 6.3781 Å; angles 90.00, 90.00, 90.00 degrees
With the nearest neighbours (Å) after each atom.
Space group Fm-3m (No. 225)
Symmetry-distinct sites (fractional):
Ta: 0.0000 0.0000 0.0000 [4 per cell]  8 W 2.76
Rh: 0.0000 0.0000 0.5000 [4 per cell]  8 W 2.76
W: 0.2500 0.2500 0.2500 [8 per cell]  4 Ta 2.76, 4 Rh 2.76

Summary:
* density of states at the Fermi level: 1.599 states/eV/atom
* spin magnetization: 0.001 μB/cell
* distance to the lowest polymorph of the same formula: 0.2613 eV/atom
* formation energy from the elements: 165 meV per atom

***

Entry 11:
This record from Alexandria describes NpBiRu2 after structural relaxation. The functional is PBE.

Cell lengths 4.5200, 4.5200, 3.7518 Å; angles 90.00, 90.00, 90.00 degrees
With the nearest neighbours (Å) after each atom.
Space group P4/mmm (No. 123)
Symmetry-distinct sites (fractional):
Np: 0.0000 0.0000 0.0000 [1 per cell]  8 Ru 2.94, 4 Bi 3.20
Bi: 0.5000 0.5000 0.0000 [1 per cell]  8 Ru 2.94, 4 Np 3.20
Ru: 0.0000 0.5000 0.5000 [2 per cell]  4 Bi 2.94, 4 Np 2.94, 4 Ru 3.20

Summary:
* density of states at the Fermi level: 1.687 states/eV/atom
* spin magnetization: 2.903 μB/cell
* distance to the lowest polymorph of the same formula: 0.0714 eV/atom
* formation energy from the elements: 166 meV per atom

***

Entry 12:
This record from Alexandria describes Na12Cd3F5 after structural relaxation. The functional is PBE.

Cell lengths 15.7438, 15.7438, 15.7438 Å; angles 90.00, 90.00, 90.00 degrees
With the nearest neighbours (Å) after each atom.
Space group Ia-3d (No. 230)
Symmetry-distinct sites (fractional):
Na: 0.0400 0.0457 0.6453 [96 per cell]  2 F 2.24-2.48
Cd: 0.0000 0.2500 0.1250 [24 per cell]  8 Na 3.16-3.29
F: 0.0000 0.0000 0.0000 [16 per cell]  6 Na 2.48
F: 0.0000 0.2500 0.3750 [24 per cell]  4 Na 2.24

Summary:
* raw total energy: -417.4 eV per cell
* density of states at the Fermi level: 0.378 states/eV/atom
* spin magnetization: 0.000 μB/cell

***

Entry 13:
This record from Alexandria describes Pr4Sn after structural relaxation. The functional is PBE.

Cell lengths 5.4409, 6.9308, 16.8870 Å; angles 90.00, 90.00, 90.00 degrees
With the nearest neighbours (Å) after each atom.
Space group Imma (No. 74)
Symmetry-distinct sites (fractional):
Pr: 0.0000 0.0000 0.0000 [4 per cell]  8 Pr 3.38-3.63, 4 Sn 3.72
Pr: 0.0000 0.0131 0.2000 [8 per cell]  4 Pr 3.20-3.38, 2 Sn 3.52
Pr: 0.0000 0.2500 0.5982 [4 per cell]  3 Sn 3.47-3.52, 10 Pr 3.63-3.86
Sn: 0.0000 0.2500 0.3897 [4 per cell]  13 Pr 3.47-3.72

Summary:
* density of states at the Fermi level: 1.220 states/eV/atom
* spin magnetization: 0.000 μB/cell
* distance to the lowest polymorph of the same formula: 0.0000 eV/atom
* formation energy from the elements: -254 meV per atom

***

Entry 14:
This record from Alexandria describes Zr2Ti5Re2Mo after structural relaxation. The functional is PBE.

Cell lengths 10.4556, 10.4556, 3.3020 Å; angles 90.00, 90.00, 90.00 degrees
With the nearest neighbours (Å) after each atom.
Space group P4/mbm (No. 127)
Symmetry-distinct sites (fractional):
Zr: 0.1807 0.3193 0.0000 [4 per cell]  1 Re 2.73
Ti: 0.0000 0.5000 0.5000 [2 per cell]  4 Re 2.59
Ti: 0.0458 0.8028 0.5000 [8 per cell]  2 Re 2.58, 2 Mo 2.68
Re: 0.1348 0.6348 0.0000 [4 per cell]  6 Ti 2.58-2.59, 1 Zr 2.73
Mo: 0.0000 0.0000 0.0000 [2 per cell]  8 Ti 2.68

Summary:
* density of states at the Fermi level: 1.537 states/eV/atom
* spin magnetization: 0.002 μB/cell
* formation energy from the elements: -25 meV per atom

***

Entry 15:
This record from Alexandria describes Sc6Sn2Ge after structural relaxation. The functional is PBE.

Cell lengths 7.7660, 7.7660, 3.9181 Å; angles 90.00, 90.00, 120.00 degrees
With the nearest neighbours (Å) after each atom.
Space group P-62m (No. 189)
Symmetry-distinct sites (fractional):
Sc: 0.0000 0.2510 0.0000 [3 per cell]  2 Ge 2.76, 2 Sn 2.96
Sc: 0.0000 0.6048 0.5000 [3 per cell]  1 Ge 3.07, 4 Sn 3.09, 6 Sc 3.33-3.37
Sn: 0.3333 0.6667 0.0000 [2 per cell]  9 Sc 2.96-3.09
Ge: 0.0000 0.0000 0.5000 [1 per cell]  9 Sc 2.76-3.07

Summary:
* density of states at the Fermi level: 1.316 states/eV/atom
* spin magnetization: 2.651 μB/cell
* formation energy from the elements: -610 meV per atom